CeAlSn2 | PBE | optimized geometry

As for the volume: 24.81 Å³ per atom. The magnetic moment is 0.8 Bohr magnetons per cell. As for the relative energy among the computed polymorphs: 0.189 eV/atom. For the formation energy from the elements, the calculation gives -280 meV/atom.

The structure belongs to space group P4/mmm (No. 123); the cell edges are 3.836, 3.836 and 6.744 Å and the angles 90.00°, 90.00° and 90.00°. Symmetry generates all atoms from Ce at (0.000, 0.000, 0.000), Al at (0.000, 0.000, 0.500) and Sn at (0.500, 0.500, 0.284).